(1)
# ScTiGaCu, optimized geometry, DFT GGA-PBE
data_ScTiGaCu
_space_group_name_H-M_alt 'F -4 3 m'
_space_group_IT_number 216
_space_group_name_Hall 'F -4 2 3'
_cell_length_a 6.4434
_cell_length_b 6.4434
_cell_length_c 6.4434
_cell_angle_alpha 90.00
_cell_angle_beta 90.00
_cell_angle_gamma 90.00
loop_
_atom_site_label
_atom_site_type_symbol
_atom_site_fract_x
_atom_site_fract_y
_atom_site_fract_z
Sc1 Sc 0.0000 0.0000 0.0000
Ti1 Ti 0.0000 0.0000 0.5000
Ga1 Ga 0.2500 0.2500 0.7500
Cu1 Cu 0.2500 0.2500 0.2500
# Energy of formation ... -328 meV per atom

(2)
# Dy3TeCN, optimized geometry, DFT GGA-PBE
data_Dy3TeCN
_space_group_name_H-M_alt 'P 1 21/m 1'
_space_group_IT_number 11
_space_group_name_Hall '-P 2yb'
_cell_length_a 7.3282
_cell_length_b 3.8790
_cell_length_c 9.9961
_cell_angle_alpha 90.00
_cell_angle_beta 110.83
_cell_angle_gamma 90.00
loop_
_atom_site_label
_atom_site_type_symbol
_atom_site_fract_x
_atom_site_fract_y
_atom_site_fract_z
Dy1 Dy 0.0246 0.2500 0.3695
Dy2 Dy 0.2979 0.2500 0.9369
Dy3 Dy 0.4248 0.7500 0.6758
Te1 Te 0.1960 0.7500 0.1940
C1 C 0.1949 0.2500 0.6137
N1 N 0.4041 0.7500 0.8834
# Energy relative to the elements, uncorrected ... -6.4 eV/f.u.

(3)
# CaAl2Cd, optimized geometry, DFT GGA-PBE
data_CaAl2Cd
_space_group_name_H-M_alt 'P 1 2/m 1'
_space_group_IT_number 10
_space_group_name_Hall '-P 2y'
_cell_length_a 3.3896
_cell_length_b 4.7375
_cell_length_c 5.7534
_cell_angle_alpha 90.00
_cell_angle_beta 91.15
_cell_angle_gamma 90.00
loop_
_atom_site_label
_atom_site_type_symbol
_atom_site_fract_x
_atom_site_fract_y
_atom_site_fract_z
Ca1 Ca 0.0000 0.0000 0.0000
Al1 Al 0.4908 0.5000 0.7554
Cd1 Cd 0.5000 0.0000 0.5000
# Energy of formation ... -83 meV per atom

(4)
# ZnNiIr2, optimized geometry, DFT GGA-PBE
data_ZnNiIr2
_space_group_name_H-M_alt 'I 4/m m m'
_space_group_IT_number 139
_space_group_name_Hall '-I 4 2'
_cell_length_a 3.8560
_cell_length_b 3.8560
_cell_length_c 7.2863
_cell_angle_alpha 90.00
_cell_angle_beta 90.00
_cell_angle_gamma 90.00
loop_
_atom_site_label
_atom_site_type_symbol
_atom_site_fract_x
_atom_site_fract_y
_atom_site_fract_z
Zn1 Zn 0.0000 0.0000 0.0000
Ni1 Ni 0.0000 0.0000 0.5000
Ir1 Ir 0.0000 0.5000 0.2500
# Energy of formation ... 28 meV per atom

(5)
# TcAsBr2N, optimized geometry, DFT GGA-PBE
data_TcAsBr2N
_space_group_name_H-M_alt 'P 4/m m m'
_space_group_IT_number 123
_space_group_name_Hall '-P 4 2'
_cell_length_a 5.0136
_cell_length_b 5.0136
_cell_length_c 4.7542
_cell_angle_alpha 90.00
_cell_angle_beta 90.00
_cell_angle_gamma 90.00
loop_
_atom_site_label
_atom_site_type_symbol
_atom_site_fract_x
_atom_site_fract_y
_atom_site_fract_z
Tc1 Tc 0.0000 0.0000 0.0000
As1 As 0.0000 0.0000 0.5000
Br1 Br 0.0000 0.5000 0.0000
N1 N 0.5000 0.5000 0.5000
# Relative energy among the computed polymorphs ... 142 meV per atom
# Energy relative to the elements, uncorrected ... 8.0 eV/f.u.

(6)
# LiTlSnTe3, optimized geometry, DFT GGA-PBE
data_LiTlSnTe3
_space_group_name_H-M_alt 'P 1 21/m 1'
_space_group_IT_number 11
_space_group_name_Hall '-P 2yb'
_cell_length_a 9.2844
_cell_length_b 4.4337
_cell_length_c 9.7967
_cell_angle_alpha 90.00
_cell_angle_beta 107.03
_cell_angle_gamma 90.00
loop_
_atom_site_label
_atom_site_type_symbol
_atom_site_fract_x
_atom_site_fract_y
_atom_site_fract_z
Li1 Li 0.0783 0.2500 0.0898
Tl1 Tl 0.2147 0.2500 0.7603
Sn1 Sn 0.3128 0.7500 0.3524
Te1 Te 0.1042 0.2500 0.3808
Te2 Te 0.2343 0.7500 0.0428
Te3 Te 0.4559 0.7500 0.6600
# Energy relative to the elements, uncorrected ... -2.1 eV/f.u.

(7)
# HoTm5Ru6, optimized geometry, DFT GGA-PBE
data_HoTm5Ru6
_space_group_name_H-M_alt 'C 1 2/m 1'
_space_group_IT_number 12
_space_group_name_Hall '-C 2y'
_cell_length_a 14.9668
_cell_length_b 6.7299
_cell_length_c 4.7581
_cell_angle_alpha 90.00
_cell_angle_beta 108.37
_cell_angle_gamma 90.00
loop_
_atom_site_label
_atom_site_type_symbol
_atom_site_fract_x
_atom_site_fract_y
_atom_site_fract_z
Ho1 Ho 0.0000 0.0000 0.0000
Tm1 Tm 0.0000 0.5000 0.0000
Tm2 Tm 0.1672 0.0000 0.6671
Tm3 Tm 0.1667 0.5000 0.6667
Ru1 Ru 0.0000 0.2510 0.5000
Ru2 Ru 0.1670 0.2505 0.1671
# Energy of formation ... -405 meV per atom

(8)
# Ta7Mo5, optimized geometry, DFT GGA-PBE
data_Ta7Mo5
_space_group_name_H-M_alt 'C m m m'
_space_group_IT_number 65
_space_group_name_Hall '-C 2 2'
_cell_length_a 6.5250
_cell_length_b 19.4806
_cell_length_c 3.2279
_cell_angle_alpha 90.00
_cell_angle_beta 90.00
_cell_angle_gamma 90.00
loop_
_atom_site_label
_atom_site_type_symbol
_atom_site_fract_x
_atom_site_fract_y
_atom_site_fract_z
Ta1 Ta 0.0000 0.0000 0.0000
Ta2 Ta 0.0000 0.1700 0.0000
Ta3 Ta 0.2409 0.4160 0.5000
Mo1 Mo 0.0000 0.3308 0.0000
Mo2 Mo 0.0000 0.5000 0.0000
Mo3 Mo 0.2500 0.2500 0.5000
# Energy of formation ... -126 meV per atom

In order of appearance, M_tot = 0.250, 0.000, 0.000, 0.244, 0.001, 0.000, 0.000, 0.000 μB/atom.